Density functional theory data (GGA-PBE) for crystalline Pm3In4Pd2 at its relaxed geometry.

Summary:
Density of states at the Fermi level: 0.48 states/eV per atom
Energy above the lowest structure with this stoichiometry: 0.0 kJ per mole of atoms
Spin magnetization: 0.000 μB per atom
Calculated formation energy: -62.2 kJ per mole of atoms

CIF file:
```
data_Pm3In4Pd2
_cell_length_a 11.453
_cell_length_b 4.720
_cell_length_c 9.178
_cell_angle_alpha 90.00
_cell_angle_beta 115.27
_cell_angle_gamma 90.00
_space_group_name_H-M_alt 'C 1 2/m 1'
_space_group_IT_number 12
loop_
_space_group_symop_operation_xyz
'x,y,z'
'-x,-y,-z'
'-x,y,-z'
'x,-y,z'
'x+1/2,y+1/2,z'
'-x+1/2,-y+1/2,-z'
'-x+1/2,y+1/2,-z'
'x+1/2,-y+1/2,z'
loop_
_atom_site_label
_atom_site_type_symbol
_atom_site_fract_x
_atom_site_fract_y
_atom_site_fract_z
_atom_site_occupancy
Pm1 Pm 0.000 0.000 0.000 1
Pm2 Pm 0.183 0.500 0.635 1
In1 In 0.020 0.000 0.355 1
In2 In 0.237 0.500 0.084 1
Pd1 Pd 0.097 0.500 0.267 1
```